Dy2LuTh | PBE | relaxed

Properties
symmetry	Fm-3m, No. 225
ΔE to the lowest computed polymorph	141.9	meV/atom
total magnetic moment	0.00	μB per formula unit
crystal system	cubic
ρ	9.64	g/cm³
DOS at the Fermi energy	8.75	states/eV/f.u.

Lattice parameters (Å, degrees): 5.6294 5.6294 5.6294 60.00 60.00 60.00
Last column: nearest neighbours and their distance in Å.
Positions (direct):
Lu (0.5000, 0.5000, 0.5000)  8 Dy 3.45
Th (0.0000, 0.0000, 0.0000)  8 Dy 3.45
Dy (0.2500, 0.2500, 0.2500)  4 Th 3.45, 4 Lu 3.45
Dy (0.7500, 0.7500, 0.7500)  4 Th 3.45, 4 Lu 3.45

=====

DyLuTh2 | PBE | relaxed

Properties
symmetry	P4/mmm, No. 123
ΔE to the lowest computed polymorph	4.4	meV/atom
total magnetic moment	0.00	μB per formula unit
crystal system	tetragonal
ρ	10.59	g/cm³
DOS at the Fermi energy	5.41	states/eV/f.u.

Lattice parameters (Å, degrees): 3.5457 3.5457 9.9956 90.00 90.00 90.00
Last column: nearest neighbours and their distance in Å.
Positions (direct):
Lu (0.5000, 0.5000, 0.0000)  8 Th 3.52, 4 Lu 3.55
Th (0.0000, 0.0000, 0.7529)  4 Lu 3.52, 4 Th 3.55, 4 Dy 3.56
Th (0.0000, 0.0000, 0.2471)  4 Lu 3.52, 4 Th 3.55, 4 Dy 3.56
Dy (0.5000, 0.5000, 0.5000)  4 Dy 3.55, 8 Th 3.56

=====

Dy2LuTh | PBE | relaxed

Properties
symmetry	P4/mmm, No. 123
ΔE to the lowest computed polymorph	4.8	meV/atom
total magnetic moment	0.00	μB per formula unit
crystal system	tetragonal
ρ	9.79	g/cm³
DOS at the Fermi energy	5.56	states/eV/f.u.

Lattice parameters (Å, degrees): 5.0262 4.9714 4.9714 90.00 90.00 90.00
Last column: nearest neighbours and their distance in Å.
Positions (direct):
Lu (0.5000, 0.5000, 0.5000)  4 Th 3.52, 8 Dy 3.53
Th (0.5000, 0.0000, 0.0000)  4 Lu 3.52, 8 Dy 3.53
Dy (0.0000, 0.0000, 0.5000)  4 Dy 3.52, 4 Lu 3.53, 4 Th 3.53
Dy (0.0000, 0.5000, 0.0000)  4 Dy 3.52, 4 Th 3.53, 4 Lu 3.53

=====

DyLuTh2 | PBE | relaxed

Properties
symmetry	R-3m, No. 166
ΔE to the lowest computed polymorph	168.5	meV/atom
total magnetic moment	0.00	μB per formula unit
crystal system	trigonal
ρ	10.44	g/cm³
DOS at the Fermi energy	4.95	states/eV/f.u.

Lattice parameters (Å, degrees): 3.4496 3.4496 12.5283 82.09 82.09 60.00
Last column: nearest neighbours and their distance in Å.
Positions (direct):
Lu (0.5000, 0.5000, 0.5000)  6 Lu 3.45, 6 Th 3.54
Th (0.0877, 0.0877, 0.7370)  1 Dy 3.25, 6 Th 3.45, 3 Lu 3.54
Th (0.9123, 0.9124, 0.2630)  1 Dy 3.25, 6 Th 3.45, 3 Lu 3.54
Dy (0.0000, 0.0000, 0.0000)  2 Th 3.25, 6 Dy 3.45

=====

ΔE to the lowest computed polymorph of number 3 (Dy2LuTh)?
4.8 meV/atom